{
  "formula": "Hf2ZnAgSn",
  "functional": "GGA-PBE",
  "state": "relaxed",
  "delta_e_f_ev_per_atom": 1.06,
  "spacegroup": "No. 123",
  "n_ef_per_ev_atom": 1.0600,
  "final_energy_ev_per_atom": -4.55,
  "total_magnetization_mub_per_atom": 0.000,
  "lattice": [[5.323, 0.000, 0.000], [0.000, 5.323, 0.000], [0.000, 0.000, 4.747]],
  "species": ["Hf", "Hf", "Zn", "Ag", "Sn"],
  "frac_coords": [[0.000, 0.500, 0.000], [0.500, 0.000, 0.000], [0.000, 0.000, 0.500], [0.500, 0.500, 0.500], [0.000, 0.000, 0.000]]
}



{
  "formula": "BeCu2Os",
  "functional": "GGA-PBE",
  "state": "relaxed",
  "delta_e_f_ev_per_atom": 0.12,
  "spacegroup": "No. 6",
  "n_ef_per_ev_atom": 0.5576,
  "final_energy_ev_per_atom": -5.66,
  "total_magnetization_mub_per_atom": 0.000,
  "lattice": [[2.571, 0.000, 0.000], [0.000, 3.776, 0.000], [-1.268, 0.000, 4.882]],
  "species": ["Be", "Cu", "Cu", "Os"],
  "frac_coords": [[0.000, 0.000, 0.000], [0.141, 0.500, 0.290], [0.758, 0.000, 0.519], [0.411, 0.500, 0.823]]
}



{
  "formula": "LiAg3Hg6",
  "functional": "GGA-PBE",
  "state": "relaxed",
  "delta_e_f_ev_per_atom": 0.02,
  "spacegroup": "No. 14",
  "n_ef_per_ev_atom": 0.2972,
  "final_energy_ev_per_atom": -1.20,
  "total_magnetization_mub_per_atom": 0.000,
  "lattice": [[7.935, 0.000, 0.000], [0.000, 7.216, 0.000], [-5.325, 0.000, 8.002]],
  "species": ["Li", "Li", "Ag", "Ag", "Ag", "Ag", "Ag", "Ag", "Hg", "Hg", "Hg", "Hg", "Hg", "Hg", "Hg", "Hg", "Hg", "Hg", "Hg", "Hg"],
  "frac_coords": [[0.000, 0.000, 0.000], [0.000, 0.500, 0.500], [0.225, 0.201, 0.443], [0.225, 0.299, 0.943], [0.500, 0.000, 0.000], [0.500, 0.500, 0.500], [0.775, 0.701, 0.057], [0.775, 0.799, 0.557], [0.126, 0.061, 0.672], [0.126, 0.439, 0.172], [0.241, 0.679, 0.829], [0.241, 0.821, 0.329], [0.469, 0.129, 0.282], [0.469, 0.371, 0.782], [0.531, 0.629, 0.218], [0.531, 0.871, 0.718], [0.759, 0.179, 0.671], [0.759, 0.321, 0.171], [0.874, 0.561, 0.828], [0.874, 0.939, 0.328]]
}



{
  "formula": "MgPb2W",
  "functional": "GGA-PBE",
  "state": "relaxed",
  "delta_e_f_ev_per_atom": 0.60,
  "spacegroup": "No. 44",
  "n_ef_per_ev_atom": 0.5689,
  "final_energy_ev_per_atom": -4.89,
  "total_magnetization_mub_per_atom": 0.000,
  "lattice": [[-1.508, 2.427, 6.918], [1.508, -2.427, 6.918], [1.508, 2.427, -6.918]],
  "species": ["Mg", "Pb", "Pb", "W"],
  "frac_coords": [[0.000, 0.000, 0.000], [0.326, 0.826, 0.500], [0.625, 0.625, 0.000], [0.819, 0.319, 0.500]]
}



{
  "formula": "CaMg",
  "functional": "GGA-PBE",
  "state": "relaxed",
  "delta_e_f_ev_per_atom": 0.08,
  "spacegroup": "No. 187",
  "n_ef_per_ev_atom": 0.9260,
  "final_energy_ev_per_atom": -1.72,
  "total_magnetization_mub_per_atom": 0.000,
  "lattice": [[3.695, 0.000, 0.000], [-1.847, 3.200, 0.000], [0.000, 0.000, 16.697]],
  "species": ["Ca", "Ca", "Ca", "Mg", "Mg", "Mg"],
  "frac_coords": [[0.000, 0.000, 0.000], [0.667, 0.333, 0.195], [0.667, 0.333, 0.805], [0.000, 0.000, 0.360], [0.000, 0.000, 0.640], [0.667, 0.333, 0.500]]
}



{
  "formula": "Nd3TePN",
  "functional": "GGA-PBE",
  "state": "relaxed",
  "spacegroup": "No. 11",
  "n_ef_per_ev_atom": 0.4565,
  "final_energy_ev_per_atom": -6.59,
  "raw_formation_energy_mev_per_atom": -1391,
  "total_magnetization_mub_per_atom": 0.000,
  "lattice": [[8.898, 0.000, 0.000], [0.000, 4.191, 0.000], [-1.966, 0.000, 9.273]],
  "species": ["Nd", "Nd", "Nd", "Nd", "Nd", "Nd", "Te", "Te", "P", "P", "N", "N"],
  "frac_coords": [[0.070, 0.250, 0.351], [0.335, 0.250, 0.981], [0.380, 0.750, 0.659], [0.620, 0.250, 0.341], [0.665, 0.750, 0.019], [0.930, 0.750, 0.649], [0.320, 0.750, 0.282], [0.680, 0.250, 0.718], [0.154, 0.250, 0.655], [0.846, 0.750, 0.345], [0.410, 0.750, 0.900], [0.590, 0.250, 0.100]]
}



{
  "formula": "FeCo2",
  "functional": "GGA-PBE",
  "state": "relaxed",
  "delta_e_f_ev_per_atom": 0.02,
  "spacegroup": "No. 139",
  "n_ef_per_ev_atom": 0.7192,
  "final_energy_ev_per_atom": -7.54,
  "total_magnetization_mub_per_atom": 1.920,
  "lattice": [[-1.250, 1.250, 5.377], [1.250, -1.250, 5.377], [1.250, 1.250, -5.377]],
  "species": ["Fe", "Co", "Co"],
  "frac_coords": [[0.000, 0.000, 0.000], [0.328, 0.328, 0.000], [0.672, 0.672, 0.000]]
}



{
  "formula": "Pm3Ho2Tm7",
  "functional": "GGA-PBE",
  "state": "relaxed",
  "delta_e_f_ev_per_atom": 0.09,
  "spacegroup": "No. 10",
  "n_ef_per_ev_atom": 1.4718,
  "final_energy_ev_per_atom": -4.47,
  "total_magnetization_mub_per_atom": 0.000,
  "lattice": [[6.283, 0.000, 0.000], [0.000, 3.499, 0.000], [-1.896, 0.000, 17.257]],
  "species": ["Pm", "Pm", "Pm", "Ho", "Ho", "Tm", "Tm", "Tm", "Tm", "Tm", "Tm", "Tm"],
  "frac_coords": [[0.000, 0.000, 0.000], [0.048, 0.500, 0.658], [0.952, 0.500, 0.342], [0.442, 0.000, 0.325], [0.558, 0.000, 0.675], [0.229, 0.500, 0.165], [0.247, 0.000, 0.500], [0.276, 0.000, 0.834], [0.500, 0.500, 0.000], [0.724, 0.000, 0.166], [0.753, 0.000, 0.500], [0.771, 0.500, 0.835]]
}



{
  "formula": "TaInHCl2",
  "functional": "GGA-PBE",
  "state": "relaxed",
  "spacegroup": "No. 123",
  "n_ef_per_ev_atom": 0.4023,
  "final_energy_ev_per_atom": -4.18,
  "total_magnetization_mub_per_atom": 0.000,
  "lattice": [[4.673, 0.000, 0.000], [0.000, 4.673, 0.000], [0.000, 0.000, 5.847]],
  "species": ["Ta", "In", "H", "Cl", "Cl"],
  "frac_coords": [[0.000, 0.000, 0.000], [0.000, 0.000, 0.500], [0.500, 0.500, 0.500], [0.000, 0.500, 0.000], [0.500, 0.000, 0.000]]
}



{
  "formula": "PmTmLuCd",
  "functional": "GGA-PBE",
  "state": "relaxed",
  "delta_e_f_ev_per_atom": -0.04,
  "spacegroup": "No. 216",
  "n_ef_per_ev_atom": 1.1839,
  "final_energy_ev_per_atom": -3.70,
  "total_magnetization_mub_per_atom": 0.000,
  "lattice": [[0.000, 3.841, 3.841], [3.841, 0.000, 3.841], [3.841, 3.841, 0.000]],
  "species": ["Pm", "Tm", "Lu", "Cd"],
  "frac_coords": [[0.000, 0.000, 0.000], [0.500, 0.500, 0.500], [0.750, 0.750, 0.750], [0.250, 0.250, 0.250]]
}



{
  "formula": "CrMoBr",
  "functional": "GGA-PBE",
  "state": "relaxed",
  "spacegroup": "No. 107",
  "n_ef_per_ev_atom": 0.8253,
  "polymorph_energy_ev_per_atom": 0.526,
  "final_energy_ev_per_atom": -6.73,
  "raw_formation_energy_mev_per_atom": 643,
  "total_magnetization_mub_per_atom": 0.231,
  "lattice": [[-1.548, 1.548, 5.518], [1.548, -1.548, 5.518], [1.548, 1.548, -5.518]],
  "species": ["Cr", "Mo", "Br"],
  "frac_coords": [[0.000, 0.000, 0.000], [0.379, 0.379, 0.000], [0.693, 0.693, 0.000]]
}



{
  "formula": "RbFeTcAs2",
  "functional": "GGA-PBE",
  "state": "relaxed",
  "delta_e_f_ev_per_atom": 0.39,
  "spacegroup": "No. 123",
  "n_ef_per_ev_atom": 0.8826,
  "polymorph_energy_ev_per_atom": 0.000,
  "final_energy_ev_per_atom": -5.43,
  "total_magnetization_mub_per_atom": 0.695,
  "lattice": [[4.840, 0.000, 0.000], [0.000, 4.840, 0.000], [0.000, 0.000, 5.116]],
  "species": ["Rb", "Fe", "Tc", "As", "As"],
  "frac_coords": [[0.000, 0.000, 0.000], [0.500, 0.500, 0.000], [0.500, 0.500, 0.500], [0.000, 0.500, 0.500], [0.500, 0.000, 0.500]]
}